Record 1
Density functional theory data (PBE+U) for MnSF after structural relaxation.

```
MnSF
1.0
-0.5054 -2.8532 4.5082
3.6407 -1.3004 -3.3027
5.1195 0.5187 1.4973
Mn S F
2 2 2
Direct
0.3659 0.0000 0.6341
0.8659 0.0000 0.1341
0.3659 0.5000 0.6341
0.8659 0.5000 0.1341
0.1159 0.0000 0.3841
0.6159 0.0000 0.8841
```

Calculated values
- magnetic moment (μB/cell) = 8.00
- raw total energy (Ry per atom) = -0.421
- space group = No. 47
- DOS(E_F) (states/eV/cell) = 2.77


Record 2
Density functional theory data (PBE+U) for Mn2SbSF after structural relaxation.

```
Mn2SbSF
1.0
4.2719 0.0000 0.0000
0.0000 5.5300 0.0000
0.0000 0.0000 4.2719
Sb S Mn F
1 1 2 1
Direct
0.5000 0.5000 0.5000
0.0000 0.5000 0.0000
0.0000 0.0000 0.5000
0.5000 0.0000 0.0000
0.0000 0.0000 0.0000
```

Calculated values
- magnetic moment (μB/cell) = 9.45
- raw total energy (Ry per atom) = -0.384
- space group = No. 123
- DOS(E_F) (states/eV/cell) = 2.35


Record 3
Density functional theory data (PBE+U) for Mn2WSF after structural relaxation.

```
Mn2WSF
1.0
-4.1393 -2.2072 -2.4911
2.5748 -1.8946 -2.5997
0.2472 -4.1683 3.2826
S Mn W F
1 2 1 1
Direct
0.5000 0.5000 0.5000
0.0000 0.0000 0.5000
0.5000 0.0000 0.0000
0.0000 0.0000 0.0000
0.0000 0.5000 0.0000
```

Calculated values
- magnetic moment (μB/cell) = 6.64
- raw total energy (Ry per atom) = -0.392
- space group = No. 123
- DOS(E_F) (states/eV/cell) = 2.08


Record 4
Density functional theory data (PBE+U) for ZrMnS2F after structural relaxation.

```
ZrMnS2F
1.0
4.8484 0.0000 0.0000
0.0000 3.7873 0.0000
0.0000 0.0000 4.8484
S Mn Zr F
2 1 1 1
Direct
0.0000 0.0000 0.5000
0.5000 0.0000 0.0000
0.0000 0.0000 0.0000
0.5000 0.5000 0.5000
0.0000 0.5000 0.0000
```

Calculated values
- magnetic moment (μB/cell) = 3.70
- raw total energy (Ry per atom) = -0.460
- space group = No. 123
- DOS(E_F) (states/eV/cell) = 1.83


Record 5
Density functional theory data (PBE+U) for MnSbF2 after structural relaxation.

```
MnSbF2
1.0
6.2491 0.0000 0.0000
0.0000 6.2491 0.0000
3.1245 3.1245 4.3479
Sb Mn F
2 2 4
Direct
0.0000 0.0000 0.0000
0.7500 0.2500 0.5000
0.5000 0.5000 0.0000
0.2500 0.7500 0.5000
0.4701 0.1250 0.2500
0.2799 0.6250 0.2500
0.3750 0.5299 0.7500
0.8750 0.7201 0.7500
```

Calculated values
- magnetic moment (μB/cell) = 9.99
- raw total energy (Ry per atom) = -0.388
- space group = No. 122
- DOS(E_F) (states/eV/cell) = 0.89
- relative energy among the computed polymorphs (meV per atom) = 320


Record 6
Density functional theory data (PBE+U) for MnSb2F after structural relaxation.

```
MnSb2F
1.0
4.2296 0.0000 0.0000
0.0000 4.2296 0.0000
2.1148 2.1148 10.3649
Sb Mn F
4 2 2
Direct
0.6347 0.1250 0.2500
0.1153 0.6250 0.2500
0.3750 0.3653 0.7500
0.8750 0.8847 0.7500
0.0000 0.0000 0.0000
0.7500 0.2500 0.5000
0.5000 0.5000 0.0000
0.2500 0.7500 0.5000
```

Calculated values
- magnetic moment (μB/cell) = 9.42
- raw total energy (Ry per atom) = -0.349
- space group = No. 122
- DOS(E_F) (states/eV/cell) = 2.71
- relative energy among the computed polymorphs (meV per atom) = 28


Q: DOS(E_F) of number 5 (MnSbF2)?
A: 0.89 states/eV/cell


Q: Among the records above, which one has the highest DOS(E_F)?
A: MnSF


Q: Number 6 is which compound?
A: MnSb2F